The following is a GGA-PBE calculation of a geometry-optimized Re2IrRu structure, from Alexandria.

Properties
DFT formation energy in eV per atom: 0.5764
Relative energy among the computed polymorphs in meV/atom: 787

Unit cell a=4.3902 b=4.3902 c=4.3902 alpha=60.00 beta=60.00 gamma=60.00
Atoms (fractional coordinates):
Re1 0.2500 0.2500 0.2500
Re2 0.7500 0.7500 0.7500
Ir1 0.5000 0.5000 0.5000
Ru1 0.0000 0.0000 0.0000

---

The following is a GGA-PBE calculation of a geometry-optimized Dy5Er3Th structure, from Alexandria.

Properties
DFT formation energy in eV per atom: 0.4568

Unit cell a=9.3479 b=9.3479 c=12.7619 alpha=50.98 beta=50.98 gamma=50.05
Atoms (fractional coordinates):
Er1 0.0000 0.0000 0.5000
Dy1 0.6291 0.6291 0.0733
Dy2 0.0726 0.4907 0.7870
Dy3 0.4907 0.0726 0.7870
Dy4 0.9274 0.5093 0.2130
Er2 0.3016 0.3016 0.3191
Th1 0.8989 0.8989 0.8637
Dy5 0.3209 0.6791 0.0000
Dy6 0.5093 0.9274 0.2130
Er3 0.0000 0.0000 0.0000
Dy7 0.3709 0.3709 0.9267
Th2 0.1011 0.1011 0.1363
Dy8 0.6791 0.3209 0.0000
Er4 0.6984 0.6984 0.6809
Dy9 0.4426 0.4426 0.4338
Dy10 0.5574 0.5574 0.5662
Er5 0.8288 0.8288 0.3378
Er6 0.1712 0.1712 0.6622

---

The following is a GGA-PBE calculation of a geometry-optimized Na2LiTe2 structure, from Alexandria.

Properties
Relative energy among the computed polymorphs in meV/atom: 0

Unit cell a=4.5158 b=6.1253 c=6.1254 alpha=69.04 beta=68.36 gamma=68.36
Atoms (fractional coordinates):
Te1 0.0000 0.7511 0.7489
Te2 0.0000 0.2489 0.2511
Li1 0.5000 0.5000 0.0000
Na1 0.3073 0.1923 0.6923
Na2 0.6927 0.8077 0.3077

---

The following is a GGA-PBE calculation of a geometry-optimized V3AgBr structure, from Alexandria.

Properties
Relative energy among the computed polymorphs in meV/atom: 0

Unit cell a=4.5335 b=4.5335 c=4.5335 alpha=90.00 beta=90.00 gamma=90.00
Atoms (fractional coordinates):
Ag1 0.5000 0.5000 0.5000
V1 0.5000 0.0000 0.0000
V2 0.0000 0.5000 0.0000
V3 0.0000 0.0000 0.5000
Br1 0.0000 0.0000 0.0000

---

The following is a GGA-PBE calculation of a geometry-optimized Cs6K5Na5 structure, from Alexandria.

Properties
DFT formation energy in eV per atom: 0.0418

Unit cell a=8.2039 b=12.5624 c=12.5624 alpha=113.21 beta=90.00 gamma=90.00
Atoms (fractional coordinates):
K1 0.0000 0.0398 0.7112
K2 0.5000 0.9558 0.1610
Cs1 0.5000 0.4109 0.4109
K3 0.5000 0.1610 0.9558
Na1 0.2260 0.3695 0.7479
Cs2 0.5000 0.0506 0.5624
Cs3 0.5000 0.5624 0.0506
Na2 0.7740 0.3695 0.7479
Na3 0.2260 0.7479 0.3695
Cs4 0.0000 0.3692 0.1165
K4 0.0000 0.7112 0.0398
Na4 0.0000 0.9863 0.9863
K5 0.5000 0.7767 0.7767
Cs5 0.0000 0.1165 0.3692
Na5 0.7740 0.7479 0.3695
Cs6 0.0000 0.6248 0.6248

---

The following is a GGA-PBE calculation of a geometry-optimized Ho2CuBi structure, from Alexandria.

Properties
DFT formation energy in eV per atom: 0.0328
Relative energy among the computed polymorphs in meV/atom: 496

Unit cell a=3.7866 b=3.7866 c=9.9206 alpha=79.00 beta=79.00 gamma=60.00
Atoms (fractional coordinates):
Bi1 0.0000 0.0000 0.0000
Ho1 0.8921 0.8921 0.3238
Cu1 0.5000 0.5000 0.5000
Ho2 0.1079 0.1079 0.6762

---

The following is a GGA-PBE calculation of a geometry-optimized AcTbAl2Si2 structure, from Alexandria.

Properties
Calculated total energy in eV/atom: -5.094

Unit cell a=4.2331 b=4.2331 c=8.7383 alpha=90.00 beta=90.00 gamma=120.00
Atoms (fractional coordinates):
Si1 0.3333 0.6667 0.2787
Al1 0.3333 0.6667 0.7365
Si2 0.6667 0.3333 0.7213
Ac1 0.0000 0.0000 0.0000
Tb1 0.0000 0.0000 0.5000
Al2 0.6667 0.3333 0.2635

---

The following is a GGA-PBE calculation of a geometry-optimized Th2AgSn structure, from Alexandria.

Properties
DFT formation energy in eV per atom: -0.2854

Unit cell a=4.3708 b=5.0118 c=5.0118 alpha=90.00 beta=90.00 gamma=90.00
Atoms (fractional coordinates):
Th1 0.0000 0.0000 0.5000
Th2 0.0000 0.5000 0.0000
Ag1 0.5000 0.5000 0.5000
Sn1 0.5000 0.0000 0.0000

---

The following is a GGA-PBE calculation of a geometry-optimized Na3Ac3SiO8 structure, from Alexandria.

Properties
Calculated total energy in eV/atom: -6.502

Unit cell a=7.1674 b=7.1676 c=6.9456 alpha=121.07 beta=90.00 gamma=120.00
Atoms (fractional coordinates):
Na1 0.5000 0.5000 0.0000
O1 0.8081 0.0042 0.3123
O2 0.1919 0.9958 0.6877
Si1 0.0000 0.0000 0.5000
Na2 0.0000 0.0000 0.0000
Na3 0.0000 0.5000 0.0000
Ac1 0.0000 0.5000 0.5000
O3 0.7437 0.4873 0.7309
Ac2 0.5000 0.5000 0.5000
Ac3 0.5000 0.0000 0.5000
O4 0.1919 0.3838 0.6876
O5 0.2563 0.5127 0.2691
O6 0.8038 0.9958 0.6877
O7 0.1962 0.0042 0.3123
O8 0.8081 0.6162 0.3124

---

The following is a GGA-PBE calculation of a geometry-optimized V4FeRh4 structure, from Alexandria.

Properties
DFT formation energy in eV per atom: -0.2649

Unit cell a=3.7678 b=5.9857 c=5.9857 alpha=84.32 beta=71.66 gamma=71.66
Atoms (fractional coordinates):
V1 0.0000 0.3196 0.6804
Rh1 0.3350 0.3300 0.0000
V2 0.0000 0.6804 0.3196
Rh2 0.3350 0.0000 0.3300
V3 0.6804 0.3196 0.3196
Rh3 0.6650 0.6700 0.0000
Fe1 0.0000 0.0000 0.0000
Rh4 0.6650 0.0000 0.6700
V4 0.3196 0.6804 0.6804

---

The following is a GGA-PBE calculation of a geometry-optimized Ce3TcGe structure, from Alexandria.

Properties
DFT formation energy in eV per atom: -0.3399
Relative energy among the computed polymorphs in meV/atom: 15

Unit cell a=4.5830 b=5.7206 c=10.0975 alpha=97.82 beta=89.99 gamma=113.62
Atoms (fractional coordinates):
Ce1 0.9181 0.8363 0.8239
Ce2 0.1323 0.2645 0.5889
Ce3 0.0819 0.1637 0.1761
Ge1 0.5741 0.1481 0.3736
Ge2 0.4259 0.8519 0.6264
Ce4 0.6117 0.2234 0.8956
Tc1 0.2657 0.5315 0.8265
Ce5 0.3883 0.7766 0.1044
Tc2 0.7343 0.4685 0.1735
Ce6 0.8677 0.7355 0.4111

---

The following is a GGA-PBE calculation of a geometry-optimized InNiOs2Se structure, from Alexandria.

Properties
Calculated total energy in eV/atom: -5.112

Unit cell a=4.5049 b=4.5049 c=5.2676 alpha=90.00 beta=90.00 gamma=90.00
Atoms (fractional coordinates):
Se1 0.0000 0.0000 0.0000
Os1 0.0000 0.5000 0.0000
In1 0.0000 0.0000 0.5000
Ni1 0.5000 0.5000 0.5000
Os2 0.5000 0.0000 0.0000